Entry 1:
Material: Ti2BeIn
Method: DFT, PBE-GGA
State: optimized geometry

Lattice parameters (Å, degrees): 3.927 3.927 4.188 90.00 90.00 90.00
Space group P4/mmm (No. 123)
Symmetry-distinct sites (fractional):
Ti 0.000 0.500 0.000 x2
Be 0.000 0.000 0.500 x1
In 0.500 0.500 0.500 x1

Results
- magnetic moment (μB per atom) = 0.004
- energy relative to the lowest polymorph listed for this composition (meV per atom) = 66
- crystal system = tetragonal
- ΔE_f (eV/atom) = -0.030

---

Entry 2:
Material: TaTiP
Method: DFT, PBE-GGA
State: optimized geometry

Lattice parameters (Å, degrees): 6.048 5.435 6.326 90.00 105.27 90.00
Space group P2_1/c (No. 14)
Symmetry-distinct sites (fractional):
Ta 0.030 0.246 0.383 x4
Ti 0.397 0.748 0.971 x4
P 0.313 0.075 0.704 x4

Results
- magnetic moment (μB per atom) = 0.000
- crystal system = monoclinic
- ΔE_f (eV/atom) = -0.653

---

Entry 3:
Material: TlSbTeI2
Method: DFT, PBE-GGA
State: optimized geometry

Lattice parameters (Å, degrees): 6.119 6.119 5.797 90.00 90.00 90.00
Space group P4/mmm (No. 123)
Symmetry-distinct sites (fractional):
Tl 0.000 0.000 0.000 x1
Sb 0.500 0.500 0.500 x1
Te 0.500 0.500 0.000 x1
I 0.000 0.500 0.500 x2

Results
- formation energy (no corrections) (eV/atom) = -0.148
- magnetic moment (μB per atom) = 0.000
- energy relative to the lowest polymorph listed for this composition (meV per atom) = 0
- crystal system = tetragonal

---

Entry 4:
Material: La2MnFe2
Method: DFT, PBE-GGA
State: optimized geometry

Lattice parameters (Å, degrees): 7.015 7.015 4.207 90.00 90.00 90.00
Space group P4/mbm (No. 127)
Symmetry-distinct sites (fractional):
La 0.189 0.311 0.000 x4
Mn 0.000 0.000 0.500 x2
Fe 0.115 0.615 0.500 x4

Results
- magnetic moment (μB per atom) = 1.195
- crystal system = tetragonal
- ΔE_f (eV/atom) = 0.279

---

| no. | total energy (eV per atom) |
| --- | --- |
| 1 | -5.594 |
| 2 | -9.038 |
| 3 | -2.694 |
| 4 | -6.911 |